Record 1
# TcPPb2 GGA-PBE optimized geometry
data_TcPPb2
_space_group_name_H-M_alt 'P 1'
_space_group_IT_number 1
_cell_length_a 7.003
_cell_length_b 7.003
_cell_length_c 7.003
_cell_angle_alpha 152.63
_cell_angle_beta 143.50
_cell_angle_gamma 46.22
loop_
_space_group_symop_operation_xyz
'x,y,z'
loop_
_atom_site_label
_atom_site_type_symbol
_atom_site_fract_x
_atom_site_fract_y
_atom_site_fract_z
Tc1 Tc 0.000 0.000 0.000
P1 P 0.874 0.374 0.500
Pb1 Pb 0.280 0.780 0.500
Pb2 Pb 0.573 0.573 0.000
# E_tot: -22.2 eV per cell
# Formation energy from the elements: 0.257 eV/atom
# Symmetry: No. 44

***

Record 2
# Tc2PPb GGA-PBE optimized geometry
data_Tc2PPb
_space_group_name_H-M_alt 'P 1'
_space_group_IT_number 1
_cell_length_a 4.858
_cell_length_b 4.858
_cell_length_c 4.858
_cell_angle_alpha 129.02
_cell_angle_beta 129.02
_cell_angle_gamma 74.98
loop_
_space_group_symop_operation_xyz
'x,y,z'
loop_
_atom_site_label
_atom_site_type_symbol
_atom_site_fract_x
_atom_site_fract_y
_atom_site_fract_z
Tc1 Tc 0.000 0.000 0.000
Tc2 Tc 0.750 0.250 0.500
P1 P 0.250 0.750 0.500
Pb1 Pb 0.500 0.500 0.000
# E above lowest polymorph: 0.698 eV per atom
# E_tot: -27.0 eV per cell
# Formation energy from the elements: 0.704 eV/atom
# Symmetry: No. 119

***

| no. | total magnetic moment (μB/f.u.) |
| --- | --- |
| 1 | 0.00 |
| 2 | 0.00 |